Entry 1:
VASP calculation (PBE) on a relaxed structure of NdHo2PuN4.

a b c (Å): 6.0621 3.5117 6.0651
angles (deg): 90.00 109.35 90.00
Closest atoms and distances in Å follow each position.
Atoms (fractional coordinates):
Nd 0.0000 0.0000 0.0000  6 N 2.52-2.53
Ho 0.5000 0.0000 0.5000  6 N 2.42-2.43
Ho 0.5000 0.5000 0.0000  6 N 2.50-2.51
Pu 0.0000 0.5000 0.5000  6 N 2.44-2.46
N 0.2506 0.0000 0.7403  3 Ho 2.42-2.50, 2 Pu 2.46, 1 Nd 2.52
N 0.2561 0.5000 0.2633  3 Ho 2.43-2.51, 1 Pu 2.44, 2 Nd 2.53
N 0.7439 0.5000 0.7367  3 Ho 2.43-2.51, 1 Pu 2.44, 2 Nd 2.53
N 0.7494 0.0000 0.2597  3 Ho 2.42-2.50, 2 Pu 2.46, 1 Nd 2.52

Results
E_tot (eV for the cell shown): -73.50

***

Entry 2:
VASP calculation (PBE) on a relaxed structure of Nd2HoPuN4.

a b c (Å): 6.1126 3.5522 6.1517
angles (deg): 90.00 109.19 90.00
Closest atoms and distances in Å follow each position.
Atoms (fractional coordinates):
Nd 0.0000 0.0000 0.0000  6 N 2.60-2.61
Nd 0.5000 0.5000 0.0000  6 N 2.56
Ho 0.0000 0.5000 0.5000  6 N 2.45-2.47
Pu 0.5000 0.0000 0.5000  6 N 2.40-2.42
N 0.2501 0.0000 0.7304  1 Pu 2.40, 2 Ho 2.47, 3 Nd 2.56-2.60
N 0.2628 0.5000 0.2737  2 Pu 2.42, 1 Ho 2.45, 3 Nd 2.56-2.61
N 0.7372 0.5000 0.7263  2 Pu 2.42, 1 Ho 2.45, 3 Nd 2.56-2.61
N 0.7499 0.0000 0.2696  1 Pu 2.40, 2 Ho 2.47, 3 Nd 2.56-2.60

Results
E_tot (eV for the cell shown): -73.11

***

Entry 3:
VASP calculation (PBE) on a relaxed structure of NdHo2ReN4.

a b c (Å): 6.1075 6.1075 11.5788
angles (deg): 90.00 90.00 147.06
Closest atoms and distances in Å follow each position.
Atoms (fractional coordinates):
Nd 0.1188 0.8812 0.7500  6 N 2.64-2.72
Nd 0.8812 0.1188 0.2500  6 N 2.64-2.72
Ho 0.3688 0.6312 0.5392  5 N 2.29-2.53
Ho 0.3688 0.6312 0.9608  5 N 2.29-2.53
Ho 0.6312 0.3688 0.0392  5 N 2.29-2.53
Ho 0.6312 0.3688 0.4608  5 N 2.29-2.53
Re 0.1438 0.8562 0.2500  4 N 1.99-2.00
Re 0.8562 0.1438 0.7500  4 N 1.99-2.00
N 0.0000 0.0000 0.0000  4 Ho 2.36
N 0.0000 0.0000 0.5000  4 Ho 2.36
N 0.2629 0.7371 0.1268  1 Re 2.00
N 0.2629 0.7371 0.3732  1 Re 2.00
N 0.4393 0.5607 0.7500  2 Re 1.99
N 0.5607 0.4393 0.2500  2 Re 1.99
N 0.7371 0.2629 0.6268  1 Re 2.00
N 0.7371 0.2629 0.8732  1 Re 2.00

Results
E_tot (eV for the cell shown): -136.12